Compound: TaAgS2N
Source: Alexandria
Functional: PBE-GGA
Structure: optimized geometry

Cell: 4.7450 4.7450 3.8602 Å, 90.00 90.00 90.00°
Atoms (fractional coordinates):
S (0.0000, 0.5000, 0.0000)
S (0.5000, 0.0000, 0.0000)
N (0.0000, 0.0000, 0.5000)
Ag (0.0000, 0.0000, 0.0000)
Ta (0.5000, 0.5000, 0.5000)

ΔE to the lowest computed polymorph = 1553.8 meV per atom
Formation energy from raw total energies = 1531 meV per atom
Magnetization = 0.06 μB/f.u.
Space-group type = No. 123
Total DFT energy (no corrections) = -23.63 eV per cell
V = 17.383 Å³/atom
Density of states at the Fermi level = 6.29 states/eV/cell

Compound: Ca2TbCrN4
Source: Alexandria
Functional: PBE-GGA
Structure: optimized geometry

Cell: 5.1442 6.7402 7.2598 Å, 90.00 90.00 90.00°
Atoms (fractional coordinates):
Ca (0.4549, 0.3379, 0.2558)
Ca (0.4549, 0.3379, 0.7442)
Ca (0.9549, 0.6621, 0.7558)
Ca (0.9549, 0.6621, 0.2442)
Tb (0.9604, 0.1325, 0.5000)
Tb (0.4604, 0.8675, 0.0000)
Cr (0.5012, 0.8253, 0.5000)
Cr (0.0012, 0.1747, 0.0000)
N (0.3453, 0.1783, 0.0000)
N (0.8453, 0.8217, 0.5000)
N (0.4282, 0.0924, 0.5000)
N (0.9282, 0.9076, 0.0000)
N (0.4276, 0.6979, 0.7171)
N (0.9276, 0.3021, 0.2171)
N (0.9276, 0.3021, 0.7829)
N (0.4276, 0.6979, 0.2829)

Formation energy from raw total energies = -987 meV per atom
Magnetization = 1.00 μB/f.u.
Space-group type = No. 31
Total DFT energy (no corrections) = -118.91 eV per cell
V = 15.732 Å³/atom
Density of states at the Fermi level = 8.66 states/eV/cell

Compound: NaTaCr2Cl
Source: Alexandria
Functional: PBE-GGA
Structure: optimized geometry

Cell: 4.2327 4.6119 4.2327 Å, 90.00 90.00 90.00°
Atoms (fractional coordinates):
Cr (0.0000, 0.0000, 0.5000)
Cr (0.5000, 0.0000, 0.0000)
Cl (0.0000, 0.0000, 0.0000)
Na (0.5000, 0.5000, 0.5000)
Ta (0.0000, 0.5000, 0.0000)

Formation energy from raw total energies = 1172 meV per atom
Magnetization = 0.00 μB/f.u.
Space-group type = No. 123
Total DFT energy (no corrections) = -28.40 eV per cell
V = 16.525 Å³/atom
Density of states at the Fermi level = 5.66 states/eV/cell

Compound: SrLa3F
Source: Alexandria
Functional: PBE-GGA
Structure: optimized geometry

Cell: 6.0552 6.0552 6.0552 Å, 90.00 90.00 90.00°
Atoms (fractional coordinates):
Sr (0.0000, 0.0000, 0.0000)
F (0.5000, 0.5000, 0.5000)
La (0.0000, 0.5000, 0.0000)
La (0.0000, 0.0000, 0.5000)
La (0.5000, 0.0000, 0.0000)

ΔE to the lowest computed polymorph = 1573.6 meV per atom
Formation energy from raw total energies = 661 meV per atom
Magnetization = 0.00 μB/f.u.
Space-group type = No. 221
Total DFT energy (no corrections) = -15.03 eV per cell
V = 44.403 Å³/atom
Density of states at the Fermi level = 11.40 states/eV/cell

Compound: CsNdMnBr6
Source: Alexandria
Functional: PBE-GGA
Structure: optimized geometry

Cell: 7.3420 7.3412 8.1049 Å, 90.06 89.95 59.95°
Atoms (fractional coordinates):
Cs (0.0000, 0.0001, 0.0000)
Nd (0.3335, 0.3336, 0.5000)
Mn (0.6666, 0.6666, 0.5000)
Br (0.9806, 0.3867, 0.3006)
Br (0.3869, 0.9807, 0.6995)
Br (0.6318, 0.3880, 0.7000)
Br (0.9796, 0.6329, 0.6998)
Br (0.3880, 0.6319, 0.3000)
Br (0.6328, 0.9796, 0.3002)

Formation energy from raw total energies = -1515 meV per atom
Magnetization = 5.00 μB/f.u.
Space-group type = No. 5
Total DFT energy (no corrections) = -38.47 eV per cell
V = 42.013 Å³/atom
Density of states at the Fermi level = 0.00 states/eV/cell

Compound: Ho3Al2Pd3
Source: Alexandria
Functional: PBE-GGA
Structure: optimized geometry

Cell: 5.5705 8.1864 8.1864 Å, 120.00 90.00 90.00°
Atoms (fractional coordinates):
Ho (0.7500, 0.2623, 0.0000)
Ho (0.7500, 0.7377, 0.7377)
Ho (0.7500, 0.0000, 0.2623)
Ho (0.2500, 0.7377, 0.0000)
Ho (0.2500, 0.2623, 0.2623)
Ho (0.2500, 0.0000, 0.7377)
Al (0.0000, 0.3333, 0.6667)
Al (0.5000, 0.6667, 0.3333)
Al (0.0000, 0.6667, 0.3333)
Al (0.5000, 0.3333, 0.6667)
Pd (0.7500, 0.5967, 0.0000)
Pd (0.7500, 0.4033, 0.4033)
Pd (0.7500, 0.0000, 0.5967)
Pd (0.2500, 0.4033, 0.0000)
Pd (0.2500, 0.5967, 0.5967)
Pd (0.2500, 0.0000, 0.4033)

Magnetization = 0.00 μB/f.u.
Space-group type = No. 193
Total DFT energy (no corrections) = -86.69 eV per cell
V = 20.206 Å³/atom
Density of states at the Fermi level = 8.76 states/eV/cell
Energy of formation = -79.0 kJ/mol of atoms

Compound: CuAu2F8
Source: Alexandria
Functional: PBE-GGA
Structure: optimized geometry

Cell: 5.5320 5.7901 6.6020 Å, 127.57 94.58 92.17°
Atoms (fractional coordinates):
Au (0.2406, 0.3051, 0.6488)
Au (0.7594, 0.6949, 0.3512)
Cu (0.0000, 0.0000, 0.0000)
F (0.2476, 0.8830, 0.4336)
F (0.7524, 0.1170, 0.5664)
F (0.7588, 0.6904, 0.0524)
F (0.2148, 0.2816, 0.3315)
F (0.2521, 0.7442, 0.8722)
F (0.2412, 0.3096, 0.9476)
F (0.7853, 0.7184, 0.6685)
F (0.7479, 0.2558, 0.1278)

ΔE to the lowest computed polymorph = 0.0 meV per atom
Formation energy from raw total energies = -1149 meV per atom
Magnetization = 1.01 μB/f.u.
Space-group type = No. 2
Total DFT energy (no corrections) = -38.26 eV per cell
V = 15.098 Å³/atom
Density of states at the Fermi level = 0.03 states/eV/cell

Compound: TlIn2P
Source: Alexandria
Functional: PBE-GGA
Structure: optimized geometry

Cell: 8.0732 8.0732 8.0732 Å, 28.43 28.43 28.43°
Atoms (fractional coordinates):
P (0.2500, 0.2500, 0.2500)
Tl (0.7500, 0.7500, 0.7500)
In (0.9823, 0.9823, 0.9823)
In (0.5177, 0.5177, 0.5177)

ΔE to the lowest computed polymorph = 0.0 meV per atom
Magnetization = 0.00 μB/f.u.
Space-group type = No. 166
Total DFT energy (no corrections) = -13.30 eV per cell
V = 26.343 Å³/atom
Density of states at the Fermi level = 1.22 states/eV/cell
Energy of formation = -1.0 kJ/mol of atoms